# VOF2, relaxed, DFT PBE with a Hubbard U
data_VOF2
_chemical_formula_sum 'V6 O6 F12'
_symmetry_space_group_name_H-M 'P 31'
_symmetry_Int_Tables_number 144
_cell_length_a 5.2907
_cell_length_b 5.2907
_cell_length_c 13.3475
_cell_angle_alpha 90.00
_cell_angle_beta 90.00
_cell_angle_gamma 120.00
loop_
_symmetry_equiv_pos_as_xyz
'x,y,z'
'-y,x-y,z+1/3'
'-x+y,-x,z+2/3'
loop_
_atom_site_label
_atom_site_fract_x
_atom_site_fract_y
_atom_site_fract_z
V1 0.0021 0.6286 0.0000
V2 0.0137 0.6778 0.5000
O1 0.2336 0.5394 0.9080
O2 0.4397 0.0901 0.7454
F1 0.0096 0.2317 0.7349
F2 0.0289 0.1220 0.2393
F3 0.0768 0.4214 0.4076
F4 0.5907 0.2616 0.2420
# * electronic total energy: -6.50 eV per atom
# * spin magnetization: 6.00 μB/cell
# * DOS at the Fermi energy: 0.00 states/eV per cell